(1)
! ErZrTi (PBE, relaxed); values from VASP
&SYSTEM
  ibrav = 0, nat = 6, ntyp = 3
/
ATOMIC_SPECIES
Er 167.26 Er.upf
Zr 91.22 Zr.upf
Ti 47.87 Ti.upf
ATOMIC_POSITIONS angstrom
Er 0.873 0.873 1.306
Er 2.619 2.619 10.296
Zr 0.873 0.873 8.133
Zr 2.619 2.619 3.469
Ti 0.873 0.873 5.226
Ti 2.619 2.619 6.376
CELL_PARAMETERS angstrom
3.491 0.000 0.000
0.000 3.491 0.000
0.000 0.000 11.602
! E above lowest polymorph in meV per atom: 0
! Energy of formation from the pure elements in eV/f.u.: 0.26
! Raw total energy in eV/atom: -6.916
! Size of the total moment in μB per formula unit: 0.00

(2)
! YVTeSe2 (PBE, relaxed); values from VASP
&SYSTEM
  ibrav = 0, nat = 5, ntyp = 4
/
ATOMIC_SPECIES
Y 88.91 Y.upf
V 50.94 V.upf
Te 127.60 Te.upf
Se 78.96 Se.upf
ATOMIC_POSITIONS angstrom
Y 0.000 0.000 0.000
V 2.714 2.714 0.000
Te 0.000 0.000 2.842
Se 0.000 2.714 2.842
Se 2.714 0.000 2.842
CELL_PARAMETERS angstrom
5.428 0.000 0.000
0.000 5.428 0.000
0.000 0.000 5.683
! Raw total energy in eV/atom: -4.426
! Energy relative to the elements, uncorrected in eV per atom: 0.713
! Size of the total moment in μB per formula unit: 4.42

(3)
! ErTh2ScSb4 (PBE, relaxed); values from VASP
&SYSTEM
  ibrav = 0, nat = 8, ntyp = 4
/
ATOMIC_SPECIES
Er 167.26 Er.upf
Th 232.04 Th.upf
Sc 44.96 Sc.upf
Sb 121.76 Sb.upf
ATOMIC_POSITIONS angstrom
Er 0.000 0.000 0.000
Th 2.474 0.000 3.592
Th 3.767 2.205 0.000
Sc -1.293 2.205 3.592
Sb -0.177 0.000 5.305
Sb 1.115 2.205 1.792
Sb 3.832 2.205 5.393
Sb 5.124 0.000 1.880
CELL_PARAMETERS angstrom
7.534 0.000 0.000
0.000 4.411 0.000
-2.587 0.000 7.185
! Raw total energy in eV/atom: -6.232
! Energy relative to the elements, uncorrected in eV per atom: -0.954
! Size of the total moment in μB per formula unit: 0.00

Among the records above, which one has the highest raw total energy? YVTeSe2

The highest size of the total moment belongs to which entry? YVTeSe2

Among the records above, which one has the lowest raw total energy? ErZrTi

Which value of raw total energy does entry 1 give? -6.916 eV/atom